First-principles (PBE) data for Zn2HgPd5 after structural relaxation, as listed in Alexandria via LeMat-Bulk.

The structure belongs to space group I4/mmm (No. 139); the cell edges are 4.168, 4.168 and 14.296 Å and the angles 90.00°, 90.00° and 90.00°. The inequivalent atoms are Zn at (0.000, 0.000, 0.249), Hg at (0.000, 0.000, 0.500), Pd at (0.000, 0.000, 0.000) and Pd at (0.000, 0.500, 0.139).

The calculation puts the formation energy from the elements at -0.39 eV per atom.


First-principles (PBE) data for Zn6HgPd12 after structural relaxation, as listed in Alexandria via LeMat-Bulk.

The structure belongs to space group R-3m (No. 166, hexagonal axes); the cell edges are 11.3020, 11.3020 and 8.3008 Å and the angles 90.00°, 90.00° and 120.00°. The inequivalent atoms are Zn at (0.0949, 0.1897, 0.2474), Hg at (0.0000, 0.0000, 0.5000), Pd at (0.0000, 0.2640, 0.5000) and Pd at (0.0950, 0.5475, 0.6004).

The calculation puts the formation energy from the elements at -0.21 eV per atom.